Material: TaBe2Zn2
Method: DFT, GGA-PBE
State: optimized geometry

a = 6.9874 Å, b = 6.9874 Å, c = 2.6230 Å
α = 90.00°, β = 90.00°, γ = 90.00°
Last column: nearest neighbours and their distance in Å.
Positions (direct):
Be 0.1750 0.6750 0.5000  6 Zn 2.36-2.50, 2 Be 2.62
Be 0.6750 0.8250 0.5000  6 Zn 2.36-2.50, 2 Be 2.62
Be 0.8250 0.3250 0.5000  6 Zn 2.36-2.50, 2 Be 2.62
Be 0.3250 0.1750 0.5000  6 Zn 2.36-2.50, 2 Be 2.62
Zn 0.3739 0.8739 0.0000  6 Be 2.36-2.50, 3 Zn 2.49-2.62
Zn 0.8739 0.6261 0.0000  6 Be 2.36-2.50, 3 Zn 2.49-2.62
Zn 0.6261 0.1261 0.0000  6 Be 2.36-2.50, 3 Zn 2.49-2.62
Zn 0.1261 0.3739 0.0000  6 Be 2.36-2.50, 3 Zn 2.49-2.62
Ta 0.0000 0.0000 0.0000  2 Ta 2.62, 4 Zn 2.76, 8 Be 2.89
Ta 0.5000 0.5000 0.0000  2 Ta 2.62, 4 Zn 2.76, 8 Be 2.89

Calculated values
calculated formation energy	0.144	eV per atom
total magnetization	0.00	μB per formula unit
uncorrected energy	-4.23	eV per atom
offset from the most stable computed form	16	meV/atom